Entry from the Alexandria database: TlTe2Os after structural relaxation (PBE).

POSCAR file:
```
TlTe2Os
1.0
6.6635 -0.0084 0.0093
3.5038 5.6680 -0.0093
-4.2980 -4.2411 2.8182
Os Te Tl
1 2 1
Cartesian
3.7245 -0.7099 1.4137
9.4714 5.2722 0.0000
5.7795 3.2171 0.0000
2.1447 2.1283 1.4045
```

E above lowest polymorph = 1.17 eV per formula unit
energy = -0.168 Ha/atom
formation energy from raw total energies = 0.402 eV/atom
symmetry = No. 71

***

Entry from the Alexandria database: In2Ag2As after structural relaxation (PBE).

POSCAR file:
```
In2Ag2As
1.0
8.1144 0.0000 0.0000
0.0000 8.1144 0.0000
0.0000 0.0000 3.3151
As Ag In
2 4 4
Cartesian
0.0000 0.0000 0.0000
4.0572 4.0572 0.0000
3.0305 7.0877 0.0000
7.0877 5.0839 0.0000
5.0839 1.0267 0.0000
1.0267 3.0305 0.0000
1.4046 5.4618 1.6575
5.4618 6.7098 1.6575
6.7098 2.6526 1.6575
2.6526 1.4046 1.6575
```

E above lowest polymorph = 0.13 eV per formula unit
energy = -0.111 Ha/atom
formation energy from the elements = 0.159 eV per atom
symmetry = No. 127

***

Entry from the Alexandria database: YEr3Tm4 after structural relaxation (PBE).

POSCAR file:
```
YEr3Tm4
1.0
3.3044 0.6802 0.9704
1.7434 7.4878 1.5212
0.7949 -0.6609 10.4582
Y Tm Er
1 4 3
Cartesian
3.3189 3.4242 11.7035
1.9046 5.1296 8.9712
3.1520 5.7955 4.2541
3.9381 2.3797 3.9778
2.6908 1.7128 8.6957
2.0497 0.0107 5.7138
3.3044 0.6808 0.9705
4.5736 4.0944 6.9602
```

E above lowest polymorph = 0.24 eV per formula unit
energy = -0.174 Ha/atom
formation energy from the elements = 0.028 eV per atom
symmetry = No. 47